VASP calculation (PBE) on a geometry-optimized Tl7GeS6 structure.

Lattice parameters (Å, degrees): 11.436 11.436 11.436 141.16 108.58 84.40
Positions (direct):
Tl 0.024 0.262 0.285
Tl 0.084 0.576 0.895
Tl 0.181 0.076 0.491
Tl 0.250 0.250 0.000
Tl 0.319 0.810 0.895
Tl 0.416 0.310 0.491
Tl 0.476 0.762 0.238
Tl 0.524 0.238 0.762
Tl 0.584 0.690 0.509
Tl 0.681 0.190 0.105
Tl 0.750 0.750 0.000
Tl 0.819 0.924 0.509
Tl 0.916 0.424 0.105
Tl 0.976 0.738 0.715
Ge 0.250 0.750 0.500
Ge 0.750 0.250 0.500
S 0.078 0.847 0.578
S 0.176 0.002 0.178
S 0.231 0.653 0.231
S 0.269 0.500 0.422
S 0.324 0.502 0.825
S 0.422 0.000 0.769
S 0.578 0.000 0.231
S 0.676 0.498 0.175
S 0.731 0.500 0.578
S 0.769 0.347 0.769
S 0.824 0.998 0.822
S 0.922 0.153 0.422

- Volume: 30.72 Å³/atom
- Formation energy without anion corrections: -0.302 eV/atom
- Symmetry: Ibam